InH2 (PBE-GGA, relaxed); theoretical density = 3.8 g/cm3; VASP energy = -3.11 eV per atom
1.0
3.171 0.000 0.000
1.583 2.748 0.000
0.953 0.366 11.631
In H
2 4
Direct
0.202 0.185 0.377
0.798 0.815 0.623
0.344 0.327 0.935
0.360 0.356 0.871
0.640 0.644 0.129
0.656 0.673 0.065

BaZnNiAg2 (PBE-GGA, relaxed); theoretical density = 6.5 g/cm3; E_form = -0.01 eV/atom
1.0
5.086 0.000 0.000
0.000 5.086 0.000
0.000 0.000 4.714
Ba Zn Ni Ag
1 1 1 2
Direct
0.000 0.000 0.000
0.500 0.500 0.000
0.500 0.500 0.500
0.000 0.500 0.500
0.500 0.000 0.500

What did the second record say?
BaZnNiAg2 (PBE-GGA, relaxed); theoretical density = 6.5 g/cm3; E_form = -0.01 eV/atom
1.0
5.086 0.000 0.000
0.000 5.086 0.000
0.000 0.000 4.714
Ba Zn Ni Ag
1 1 1 2
Direct
0.000 0.000 0.000
0.500 0.500 0.000
0.500 0.500 0.500
0.000 0.500 0.500
0.500 0.000 0.500

- Which formula does entry 2 have?
  BaZnNiAg2

- What is the theoretical density in the first record?
  3.8 g/cm3